A relaxed KYHg2O crystal. Source: the Alexandria database, functional GGA-PBE.

Summary:
D(E_F)   0.6345 states/eV per atom
Energy relative to the elements, uncorrected   -4.55 eV per formula unit
Symmetry   P4/mmm
DFT total energy   -3.535 eV/atom
Magnetization   0.00 μB/atom

Lattice parameters (Å, degrees): 6.301 6.301 4.245 90.00 90.00 90.00
Atoms (fractional coordinates):
1 K 0.000 0.000 0.000
2 Y 0.500 0.500 0.500
3 Hg 0.000 0.500 0.500
4 Hg 0.500 0.000 0.500
5 O 0.500 0.500 0.000